## 1
Here is an optimized crystal structure of LiPu2Cl6 from Alexandria via LeMat-Bulk. Energies are from PBE.

Lattice parameters (Å, degrees): 7.030 7.030 11.260 115.16 115.16 31.46
Fractional positions:
1 Li 0.000 0.000 0.000
2 Pu 0.314 0.314 0.697
3 Pu 0.686 0.686 0.303
4 Cl 0.013 0.013 0.228
5 Cl 0.199 0.199 0.121
6 Cl 0.345 0.345 0.461
7 Cl 0.655 0.655 0.539
8 Cl 0.801 0.801 0.879
9 Cl 0.987 0.987 0.772

space group: C2/m (12)
theoretical density: 4.51 g/cm³


## 2
Here is an optimized crystal structure of LiPu2Cl6 from Alexandria via LeMat-Bulk. Energies are from PBE.

Lattice parameters (Å, degrees): 6.666 7.050 11.096 90.00 118.04 90.00
Fractional positions:
1 Li 0.000 0.000 0.000
2 Li 0.000 0.500 0.500
3 Pu 0.327 0.112 0.779
4 Pu 0.327 0.388 0.279
5 Pu 0.673 0.612 0.721
6 Pu 0.673 0.888 0.221
7 Cl 0.063 0.060 0.233
8 Cl 0.063 0.440 0.733
9 Cl 0.269 0.677 0.091
10 Cl 0.269 0.823 0.591
11 Cl 0.363 0.177 0.056
12 Cl 0.363 0.323 0.556
13 Cl 0.637 0.677 0.444
14 Cl 0.637 0.823 0.944
15 Cl 0.731 0.177 0.409
16 Cl 0.731 0.323 0.909
17 Cl 0.937 0.560 0.267
18 Cl 0.937 0.940 0.767

space group: P2_1/c (14)
theoretical density: 5.11 g/cm³


Most stable structure: 2


## 1
Here is an optimized crystal structure of Li2PuCl4 from Alexandria via LeMat-Bulk. Energies are from PBE.

Lattice parameters (Å, degrees): 7.867 7.867 7.867 123.68 119.29 87.50
Fractional positions:
1 Li 0.000 0.000 0.000
2 Li 0.373 0.623 0.750
3 Li 0.500 0.000 0.500
4 Li 0.627 0.377 0.250
5 Pu 0.000 0.000 0.500
6 Pu 0.000 0.500 0.000
7 Cl 0.247 0.235 0.487
8 Cl 0.247 0.760 0.013
9 Cl 0.254 0.234 0.020
10 Cl 0.287 0.766 0.520
11 Cl 0.713 0.234 0.480
12 Cl 0.746 0.766 0.980
13 Cl 0.753 0.240 0.987
14 Cl 0.753 0.765 0.513

space group: Imma (74)
theoretical density: 3.96 g/cm³


## 2
Here is an optimized crystal structure of Li2PuCl4 from Alexandria via LeMat-Bulk. Energies are from PBE.

Lattice parameters (Å, degrees): 7.148 7.148 6.869 103.31 103.31 33.38
Fractional positions:
1 Li 0.174 0.174 0.077
2 Li 0.826 0.826 0.923
3 Pu 0.500 0.500 0.500
4 Cl 0.110 0.110 0.365
5 Cl 0.356 0.356 0.112
6 Cl 0.644 0.644 0.888
7 Cl 0.890 0.890 0.635

space group: C2/m (12)
theoretical density: 3.54 g/cm³


Most stable structure: 2


## 1
Here is an optimized crystal structure of RbLi3Cl from Alexandria via LeMat-Bulk. Energies are from PBE.

Lattice parameters (Å, degrees): 6.355 6.355 6.355 90.00 90.00 90.00
Fractional positions:
1 Rb 0.000 0.000 0.000
2 Li 0.000 0.000 0.500
3 Li 0.000 0.500 0.000
4 Li 0.500 0.000 0.000
5 Cl 0.500 0.500 0.500

space group: Pm-3m (221)
theoretical density: 0.92 g/cm³


## 2
Here is an optimized crystal structure of RbLi3Cl from Alexandria via LeMat-Bulk. Energies are from PBE.

Lattice parameters (Å, degrees): 5.437 5.437 5.437 90.00 90.00 90.00
Fractional positions:
1 Rb 0.000 0.000 0.000
2 Li 0.000 0.500 0.500
3 Li 0.500 0.000 0.500
4 Li 0.500 0.500 0.000
5 Cl 0.500 0.500 0.500

space group: Pm-3m (221)
theoretical density: 1.46 g/cm³


Most stable structure: 2


## 1
Here is an optimized crystal structure of Rb2LiCl from Alexandria via LeMat-Bulk. Energies are from PBE.

Lattice parameters (Å, degrees): 8.462 8.462 8.462 112.41 112.41 103.74
Fractional positions:
1 Rb 0.052 0.625 0.927
2 Rb 0.375 0.302 0.427
3 Rb 0.698 0.125 0.073
4 Rb 0.875 0.948 0.573
5 Li 0.250 0.750 0.500
6 Li 0.500 0.500 0.000
7 Cl 0.000 0.000 0.000
8 Cl 0.750 0.250 0.500

space group: I-42d (122)
theoretical density: 1.53 g/cm³


## 2
Here is an optimized crystal structure of Rb2LiCl from Alexandria via LeMat-Bulk. Energies are from PBE.

Lattice parameters (Å, degrees): 6.303 6.303 6.303 60.00 60.00 60.00
Fractional positions:
1 Rb 0.250 0.250 0.250
2 Rb 0.750 0.750 0.750
3 Li 0.000 0.000 0.000
4 Cl 0.500 0.500 0.500

space group: Fm-3m (225)
theoretical density: 2.00 g/cm³


Most stable structure: 1


## 1
Here is an optimized crystal structure of RbLi2Cl from Alexandria via LeMat-Bulk. Energies are from PBE.

Lattice parameters (Å, degrees): 7.852 7.852 7.852 120.25 120.25 89.57
Fractional positions:
1 Rb 0.375 0.625 0.750
2 Rb 0.625 0.375 0.250
3 Li 0.000 0.000 0.000
4 Li 0.000 0.000 0.500
5 Li 0.000 0.500 0.000
6 Li 0.500 0.000 0.500
7 Cl 0.125 0.875 0.250
8 Cl 0.875 0.125 0.750

space group: I4_1/amd (141)
theoretical density: 1.31 g/cm³


## 2
Here is an optimized crystal structure of RbLi2Cl from Alexandria via LeMat-Bulk. Energies are from PBE.

Lattice parameters (Å, degrees): 5.820 5.820 5.820 60.00 60.00 60.00
Fractional positions:
1 Rb 0.000 0.000 0.000
2 Li 0.250 0.250 0.250
3 Li 0.750 0.750 0.750
4 Cl 0.500 0.500 0.500

space group: Fm-3m (225)
theoretical density: 1.61 g/cm³


Most stable structure: 1


## 1
Here is an optimized crystal structure of Rb2LiRuCl6 from Alexandria via LeMat-Bulk. Energies are from PBE.

Lattice parameters (Å, degrees): 7.131 7.131 6.116 90.00 90.00 120.00
Fractional positions:
1 Rb 0.333 0.667 0.280
2 Rb 0.667 0.333 0.720
3 Li 0.000 0.000 0.000
4 Ru 0.000 0.000 0.500
5 Cl 0.157 0.313 0.730
6 Cl 0.157 0.843 0.730
7 Cl 0.313 0.157 0.270
8 Cl 0.687 0.843 0.730
9 Cl 0.843 0.157 0.270
10 Cl 0.843 0.687 0.270

space group: P-3m1 (164)
theoretical density: 3.03 g/cm³


## 2
Here is an optimized crystal structure of Rb2LiRuCl6 from Alexandria via LeMat-Bulk. Energies are from PBE.

Lattice parameters (Å, degrees): 6.938 6.938 6.938 115.43 115.43 98.11
Fractional positions:
1 Rb 0.250 0.750 0.500
2 Rb 0.750 0.250 0.500
3 Li 0.000 0.000 0.000
4 Ru 0.500 0.500 0.000
5 Cl 0.244 0.244 0.000
6 Cl 0.271 0.271 0.542
7 Cl 0.271 0.729 0.000
8 Cl 0.729 0.271 0.000
9 Cl 0.729 0.729 0.458
10 Cl 0.756 0.756 0.000

space group: I4/mmm (139)
theoretical density: 3.27 g/cm³


Most stable structure: 1